Record 1
This record from the Alexandria database describes a relaxed structure of PaBeNiH6. The functional is PBE-GGA.

abc: 4.1366 4.1366 4.2832
angles: 90.00 90.00 120.00
Atoms (fractional coordinates):
Pa 0.0000 0.0000 0.0000
Be 0.6667 0.3333 0.5000
Ni 0.3333 0.6667 0.5000
H 0.5044 0.0087 0.2265
H 0.5044 0.0087 0.7735
H 0.5044 0.4956 0.2265
H 0.5044 0.4956 0.7735
H 0.9913 0.4956 0.2265
H 0.9913 0.4956 0.7735

**SG**: P-6m2
**Total DFT energy (no corrections)**: -4.562 eV per atom
**D(E_F)**: 3.4 states/eV/f.u.


Record 2
This record from the Alexandria database describes a relaxed structure of HfZrBi2. The functional is PBE-GGA.

abc: 5.2534 5.2534 3.5212
angles: 90.00 90.00 90.00
Atoms (fractional coordinates):
Hf 0.0000 0.0000 0.0000
Zr 0.5000 0.5000 0.0000
Bi 0.0000 0.5000 0.5000
Bi 0.5000 0.0000 0.5000

**Energy relative to the lowest polymorph listed for this composition**: 0.0 meV per atom
**SG**: P4/mmm
**Formation energy from the elements**: -105 meV/atom
**Total DFT energy (no corrections)**: -6.671 eV per atom
**D(E_F)**: 3.9 states/eV/f.u.


Record 3
This record from the Alexandria database describes a relaxed structure of CaIn2Au. The functional is PBE-GGA.

abc: 4.4710 4.4710 4.8074
angles: 90.00 90.00 90.00
Atoms (fractional coordinates):
Ca 0.0000 0.0000 0.0000
In 0.0000 0.5000 0.5000
In 0.5000 0.0000 0.5000
Au 0.5000 0.5000 0.0000

**SG**: P4/mmm
**Formation energy from the elements**: -412 meV/atom
**Total DFT energy (no corrections)**: -3.101 eV per atom
**D(E_F)**: 1.7 states/eV/f.u.